Compound: SbP2OsCl
Source: Alexandria
Functional: PBE
Structure: optimized geometry

## Properties
As for the calculated total energy: -25.28 eV per formula unit. The size of the total moment is 0.00 μB/cell. Its density of states at the Fermi level is 5.5 states/eV per cell. The calculated density comes out at 6524 kg/m³. The symmetry is No. 123. The value obtained for the offset from the most stable computed form is 0.0000 eV per atom. The value obtained for the uncorrected formation energy is 0.5475 eV/atom.

Cell: 4.6009 4.6009 4.9225 Å, 90.00 90.00 90.00°
Element x y z (fractional)
Sb: 0.5000 0.5000 0.5000
Os: 0.0000 0.0000 0.0000
P: 0.0000 0.5000 0.0000
P: 0.5000 0.0000 0.0000
Cl: 0.0000 0.0000 0.5000